(1)
# AsHAu2

A relaxed structure of AsHAu2 (PBE, the Alexandria database).

Cell and atoms, written as CIF:
```
data_AsHAu2
_symmetry_space_group_name_H-M 'I -4 2 d'
_symmetry_Int_Tables_number 122
_symmetry_space_group_name_Hall 'I -4 2bw'
_cell_length_a 4.960
_cell_length_b 4.960
_cell_length_c 11.070
_cell_angle_alpha 90.00
_cell_angle_beta 90.00
_cell_angle_gamma 90.00
loop_
_atom_site_label
_atom_site_type_symbol
_atom_site_fract_x
_atom_site_fract_y
_atom_site_fract_z
As1 As 0.000 0.000 0.000
H1 H 0.000 0.000 0.500
Au1 Au 0.145 0.250 0.625
```

Calculated values
excess energy over the best structure of this formula in the dataset: 0.000 eV/atom
total energy: -3.37 eV per atom

=====

(2)
# Y2NpTlO8

A relaxed structure of Y2NpTlO8 (PBE, the Alexandria database).

Cell and atoms, written as CIF:
```
data_Y2NpTlO8
_symmetry_space_group_name_H-M 'C m m m'
_symmetry_Int_Tables_number 65
_symmetry_space_group_name_Hall '-C 2 2'
_cell_length_a 6.909
_cell_length_b 7.294
_cell_length_c 7.206
_cell_angle_alpha 90.00
_cell_angle_beta 90.00
_cell_angle_gamma 90.00
loop_
_atom_site_label
_atom_site_type_symbol
_atom_site_fract_x
_atom_site_fract_y
_atom_site_fract_z
Y1 Y 0.000 0.000 0.249
Np1 Np 0.000 0.500 0.500
Tl1 Tl 0.000 0.500 0.000
O1 O 0.000 0.312 0.292
O2 O 0.201 0.000 0.000
O3 O 0.206 0.000 0.500
```

Calculated values
E_form (uncorrected): -2563 meV per atom
total energy: -8.22 eV per atom